No. 1
# MgMnRh | Alexandria via LeMat-Bulk | GGA-PBE | relaxed
data_MgMnRh
_chemical_formula_sum 'Mg2 Mn2 Rh2'
_cell_length_a 4.407
_cell_length_b 4.545
_cell_length_c 5.201
_cell_angle_alpha 73.20
_cell_angle_beta 68.19
_cell_angle_gamma 71.58
_space_group_name_H-M_alt 'P -1'
_space_group_IT_number 2
_space_group_name_Hall '-P 1'
loop_
_atom_site_label
_atom_site_fract_x
_atom_site_fract_y
_atom_site_fract_z
Mg1 0.189 0.221 0.375
Mn1 0.179 0.806 0.005
Rh1 0.388 0.353 0.766
# - DFT formation energy (kcal/mol of atoms) = 1.3
# - theoretical density (Mg/m³) = 6.72
# - calculated total energy (eV for the cell shown) = -35.902
# - V (Å³/f.u.) = 45
# - total moment (μB per atom) = 0.000

No. 2
# MgMnRh | Alexandria via LeMat-Bulk | GGA-PBE | relaxed
data_MgMnRh
_chemical_formula_sum 'Mg4 Mn4 Rh4'
_cell_length_a 10.296
_cell_length_b 3.069
_cell_length_c 6.214
_cell_angle_alpha 90.00
_cell_angle_beta 106.47
_cell_angle_gamma 90.00
_space_group_name_H-M_alt 'C 1 m 1'
_space_group_IT_number 8
_space_group_name_Hall 'C -2y'
loop_
_atom_site_label
_atom_site_fract_x
_atom_site_fract_y
_atom_site_fract_z
Mg1 0.000 0.000 0.000
Mg2 0.188 0.500 0.797
Mn1 0.185 0.500 0.326
Mn2 0.366 0.000 0.614
Rh1 0.022 0.000 0.466
Rh2 0.327 0.000 0.154
# - DFT formation energy (kcal/mol of atoms) = -1.7
# - theoretical density (Mg/m³) = 6.43
# - calculated total energy (eV for the cell shown) = -73.324
# - V (Å³/f.u.) = 47
# - total moment (μB per atom) = 1.313

No. 3
# MgMnRh | Alexandria via LeMat-Bulk | GGA-PBE | relaxed
data_MgMnRh
_chemical_formula_sum 'Mg2 Mn2 Rh2'
_cell_length_a 3.162
_cell_length_b 3.162
_cell_length_c 9.407
_cell_angle_alpha 90.00
_cell_angle_beta 90.00
_cell_angle_gamma 90.00
_space_group_name_H-M_alt 'I 4 m m'
_space_group_IT_number 107
_space_group_name_Hall 'I 4 -2'
loop_
_atom_site_label
_atom_site_fract_x
_atom_site_fract_y
_atom_site_fract_z
Mg1 0.000 0.000 0.000
Mn1 0.000 0.000 0.309
Rh1 0.000 0.000 0.668
# - DFT formation energy (kcal/mol of atoms) = -4.1
# - theoretical density (Mg/m³) = 6.43
# - calculated total energy (eV for the cell shown) = -37.290
# - V (Å³/f.u.) = 47
# - total moment (μB per atom) = 1.368

No. 4
# MgMnRh | Alexandria via LeMat-Bulk | GGA-PBE | relaxed
data_MgMnRh
_chemical_formula_sum 'Mg4 Mn4 Rh4'
_cell_length_a 3.808
_cell_length_b 2.813
_cell_length_c 15.941
_cell_angle_alpha 90.00
_cell_angle_beta 90.00
_cell_angle_gamma 90.00
_space_group_name_H-M_alt 'A m m 2'
_space_group_IT_number 38
_space_group_name_Hall 'A 2 -2'
loop_
_atom_site_label
_atom_site_fract_x
_atom_site_fract_y
_atom_site_fract_z
Mg1 0.000 0.000 0.000
Mg2 0.000 0.000 0.177
Mn1 0.000 0.000 0.348
Mn2 0.500 0.000 0.415
Rh1 0.500 0.000 0.581
Rh2 0.500 0.000 0.776
# - DFT formation energy (kcal/mol of atoms) = 0.1
# - theoretical density (Mg/m³) = 7.09
# - calculated total energy (eV for the cell shown) = -72.436
# - V (Å³/f.u.) = 43
# - total moment (μB per atom) = 0.000